[1]
Material: TbTlPb2
Method: DFT, PBE
State: relaxed

The formation energy is -0.1925 eV per atom. The value obtained for the density of states at the Fermi level is 4.4 states/eV per cell. The calculation puts the density at 10.83 g/cm³.

It has space group P4/mmm (No. 123), with a = 4.2040 Å, b = 4.2040 Å, c = 6.7466 Å, α = 90.00°, β = 90.00° and γ = 90.00°. The asymmetric unit holds Tb at (0.0000, 0.0000, 0.0000), Tl at (0.0000, 0.0000, 0.5000) and Pb at (0.5000, 0.5000, 0.2376).

[2]
Material: Tb3TlPb
Method: DFT, PBE
State: relaxed

The formation energy is -0.3025 eV per atom. The value obtained for the density of states at the Fermi level is 41.0 states/eV per cell. The calculation puts the density at 9.52 g/cm³.

It has space group C2/c (No. 15), with a = 12.0866 Å, b = 11.5293 Å, c = 8.8916 Å, α = 90.00°, β = 90.01° and γ = 90.00°. The asymmetric unit holds Tb at (0.0964, 0.1055, 0.4195), Tb at (0.0972, 0.3949, 0.5804), Tb at (0.2501, 0.1751, 0.8140), Tl at (0.2492, 0.0573, 0.1308), Pb at (0.0000, 0.1488, 0.7500) and Pb at (0.0000, 0.3522, 0.2500).

[3]
Material: TbTl2Pb
Method: DFT, PBE
State: relaxed

The formation energy is -0.2625 eV per atom. The value obtained for the density of states at the Fermi level is 1.7 states/eV per cell. The calculation puts the density at 11.52 g/cm³.

It has space group P4/mmm (No. 123), with a = 4.6818 Å, b = 4.6818 Å, c = 5.0957 Å, α = 90.00°, β = 90.00° and γ = 90.00°. The asymmetric unit holds Tb at (0.0000, 0.0000, 0.0000), Tl at (0.0000, 0.5000, 0.5000) and Pb at (0.5000, 0.5000, 0.0000).

[4]
Material: Tb4Tl3Pb
Method: DFT, PBE
State: relaxed

The formation energy is -0.3690 eV per atom. The value obtained for the density of states at the Fermi level is 8.8 states/eV per cell. The calculation puts the density at 10.89 g/cm³.

It has space group Pmma (No. 51), with a = 10.9562 Å, b = 7.3420 Å, c = 5.5201 Å, α = 90.00°, β = 90.00° and γ = 90.00°. The asymmetric unit holds Tb at (0.0000, 0.2482, 0.0000), Tb at (0.2500, 0.2484, 0.4534), Tl at (0.0000, 0.0000, 0.5000), Tl at (0.2500, 0.0000, 0.9476), Tl at (0.2500, 0.5000, 0.9508) and Pb at (0.0000, 0.5000, 0.5000).

[5]
Material: Tb2TlPb5
Method: DFT, PBE
State: relaxed

The formation energy is -0.2913 eV per atom. The value obtained for the density of states at the Fermi level is 7.6 states/eV per cell. The calculation puts the density at 11.22 g/cm³.

It has space group C2/m (No. 12), with a = 9.6238 Å, b = 9.7132 Å, c = 6.8698 Å, α = 90.00°, β = 134.08° and γ = 90.00°. The asymmetric unit holds Tb at (0.2500, 0.2500, 0.0000), Tl at (0.0000, 0.0000, 0.0000), Pb at (0.0000, 0.0000, 0.5000), Pb at (0.0000, 0.5000, 0.0000), Pb at (0.0000, 0.5000, 0.5000) and Pb at (0.2500, 0.2500, 0.5000).

[6]
Material: TbTl2Pb
Method: DFT, PBE
State: relaxed

The formation energy is -0.1094 eV per atom. The value obtained for the density of states at the Fermi level is 6.4 states/eV per cell. The calculation puts the density at 11.01 g/cm³.

It has space group Fm-3m (No. 225), with a = 7.7610 Å, b = 7.7610 Å, c = 7.7610 Å, α = 90.00°, β = 90.00° and γ = 90.00°. The asymmetric unit holds Tb at (0.0000, 0.0000, 0.0000), Tl at (0.2500, 0.2500, 0.2500) and Pb at (0.0000, 0.0000, 0.5000).

[7]
Material: Tb4Tl5Pb
Method: DFT, PBE
State: relaxed

The formation energy is -0.3193 eV per atom. The value obtained for the density of states at the Fermi level is 12.6 states/eV per cell. The calculation puts the density at 11.14 g/cm³.

It has space group C2/m (No. 12), with a = 17.5639 Å, b = 4.9310 Å, c = 6.6986 Å, α = 90.00°, β = 106.65° and γ = 90.00°. The asymmetric unit holds Tb at (0.0847, 0.0000, 0.3273), Tb at (0.1993, 0.5000, 0.1188), Tl at (0.0000, 0.5000, 0.5000), Tl at (0.1090, 0.0000, 0.8310), Tl at (0.2038, 0.5000, 0.6064) and Pb at (0.0000, 0.5000, 0.0000).

[8]
Material: Tb2TlPb
Method: DFT, PBE
State: relaxed

The formation energy is -0.4253 eV per atom. The value obtained for the density of states at the Fermi level is 6.8 states/eV per cell. The calculation puts the density at 10.32 g/cm³.

It has space group Amm2 (No. 38), with a = 4.3736 Å, b = 4.6182 Å, c = 11.6197 Å, α = 90.00°, β = 90.00° and γ = 90.00°. The asymmetric unit holds Tb at (0.0000, 0.0000, 0.0000), Tb at (0.5000, 0.0000, 0.2657), Tl at (0.5000, 0.0000, 0.5344) and Pb at (0.0000, 0.0000, 0.7253).

[9]
Material: TbTlPb2
Method: DFT, PBE
State: relaxed

The formation energy is -0.2873 eV per atom. The value obtained for the density of states at the Fermi level is 2.4 states/eV per cell. The calculation puts the density at 11.32 g/cm³.

It has space group P4/mmm (No. 123), with a = 4.8051 Å, b = 4.8051 Å, c = 4.9403 Å, α = 90.00°, β = 90.00° and γ = 90.00°. The asymmetric unit holds Tb at (0.0000, 0.0000, 0.0000), Tl at (0.5000, 0.5000, 0.0000) and Pb at (0.0000, 0.5000, 0.5000).

[10]
Material: Tb6Tl2Pb
Method: DFT, PBE
State: relaxed

The formation energy is -0.1035 eV per atom. The value obtained for the density of states at the Fermi level is 23.0 states/eV per cell. The calculation puts the density at 8.70 g/cm³.

It has space group Immm (No. 71), with a = 5.2049 Å, b = 7.3694 Å, c = 15.6193 Å, α = 90.00°, β = 90.00° and γ = 90.00°. The asymmetric unit holds Tb at (0.0000, 0.2454, 0.0000), Tb at (0.0000, 0.2523, 0.3316), Tl at (0.0000, 0.0000, 0.1668) and Pb at (0.0000, 0.0000, 0.5000).

[11]
Material: Tb2TlPb
Method: DFT, PBE
State: relaxed

The formation energy is -0.4190 eV per atom. The value obtained for the density of states at the Fermi level is 12.2 states/eV per cell. The calculation puts the density at 10.33 g/cm³.

It has space group P2/c (No. 13), with a = 6.3598 Å, b = 6.3631 Å, c = 11.9866 Å, α = 90.00°, β = 104.84° and γ = 90.00°. The asymmetric unit holds Tb at (0.1832, 0.1289, 0.1352), Tb at (0.3059, 0.3759, 0.8687), Tl at (0.3367, 0.1227, 0.4051) and Pb at (0.1783, 0.3678, 0.5958).

[12]
Material: TbYTlPb
Method: DFT, PBE
State: relaxed

The formation energy is -0.4135 eV per atom. The value obtained for the density of states at the Fermi level is 6.4 states/eV per cell. The calculation puts the density at 9.83 g/cm³.

It has space group I-4m2 (No. 119), with a = 5.0265 Å, b = 5.0265 Å, c = 8.8208 Å, α = 90.00°, β = 90.00° and γ = 90.00°. The asymmetric unit holds Tb at (0.0000, 0.0000, 0.0000), Y at (0.0000, 0.0000, 0.5000), Tl at (0.0000, 0.5000, 0.2500) and Pb at (0.0000, 0.5000, 0.7500).

Question: Which formula does entry 1 have?
Answer: TbTlPb2